(1)
ZrGaPbSe3: relaxed, GGA-PBE.

The volume is 579.01 Å³/cell. The calculation puts the calculated density at 6.941 g/cm3. As for the uncorrected energy: -4.884 eV/atom.

The structure belongs to space group Cmcm (No. 63); the cell edges are 3.811, 15.502 and 9.800 Å and the angles 90.00°, 90.00° and 90.00°. The inequivalent atoms are Zr at (0.000, 0.000, 0.000), Ga at (0.000, 0.464, 0.250), Pb at (0.000, 0.259, 0.750), Se at (0.000, 0.091, 0.250) and Se at (0.000, 0.368, 0.034).


(2)
Zr2ScGa: relaxed, GGA-PBE.

The volume is 331.85 Å³/cell. The calculation puts the calculated density at 5.947 g/cm3. As for the uncorrected energy: -6.734 eV/atom.

The structure belongs to space group F-43m (No. 216); the cell edges are 6.923, 6.923 and 6.923 Å and the angles 90.00°, 90.00° and 90.00°. The inequivalent atoms are Zr at (0.000, 0.000, 0.000), Zr at (0.250, 0.250, 0.250), Sc at (0.250, 0.250, 0.750) and Ga at (0.000, 0.000, 0.500).


(3)
NbReNiAs: relaxed, GGA-PBE.

The volume is 239.93 Å³/cell. The calculation puts the calculated density at 11.426 g/cm3. As for the uncorrected energy: -7.884 eV/atom.

The structure belongs to space group F-43m (No. 216); the cell edges are 6.214, 6.214 and 6.214 Å and the angles 90.00°, 90.00° and 90.00°. The inequivalent atoms are Nb at (0.000, 0.000, 0.000), Re at (0.250, 0.250, 0.750), Ni at (0.000, 0.000, 0.500) and As at (0.250, 0.250, 0.250).


(4)
NaHfAgSe3: relaxed, GGA-PBE.

The volume is 562.42 Å³/cell. The calculation puts the calculated density at 6.451 g/cm3. The calculation puts the offset from the most stable computed form at 53 meV/atom.

The structure belongs to space group Cmcm (No. 63); the cell edges are 3.893, 13.858 and 10.424 Å and the angles 90.00°, 90.00° and 90.00°. The inequivalent atoms are Na at (0.000, 0.246, 0.250), Hf at (0.000, 0.000, 0.000), Ag at (0.000, 0.452, 0.750), Se at (0.000, 0.080, 0.750) and Se at (0.000, 0.365, 0.534).


(5)
NaPtNO: relaxed, GGA-PBE.

The volume is 126.06 Å³/cell. The calculation puts the calculated density at 6.535 g/cm3. The calculation puts the offset from the most stable computed form at 464 meV/atom.

The structure belongs to space group P4/nmm (No. 129, origin choice 2); the cell edges are 3.943, 3.943 and 8.110 Å and the angles 90.00°, 90.00° and 90.00°. The inequivalent atoms are Na at (0.250, 0.250, 0.136), Pt at (0.250, 0.750, 0.500), N at (0.250, 0.250, 0.594) and O at (0.250, 0.750, 0.000).


(6)
Lu3Sc3CoBi2: relaxed, GGA-PBE.

The volume is 234.25 Å³/cell. The calculation puts the calculated density at 8.057 g/cm3. As for the uncorrected energy: -4.943 eV/atom.

The structure belongs to space group P-62m (No. 189); the cell edges are 9.2361, 9.2361 and 3.1706 Å and the angles 90.00°, 90.00° and 120.00°. The inequivalent atoms are Lu at (0.0000, 0.7096, 0.0000), Sc at (0.0000, 0.3512, 0.0000), Co at (0.0000, 0.0000, 0.0000) and Bi at (0.3333, 0.6667, 0.0000).